Ce4SbSeS2 | GGA-PBE | relaxed

Values from the calculation:
Its size of the total moment is 3.281 μB/f.u. The uncorrected formation energy is -164.4 kJ per mole of atoms. The calculation puts the uncorrected energy at -6.653 eV/atom. The calculated volume is 25.98 Å³/atom. The symmetry is Imma, No. 74.

Cell lengths 8.3766, 8.3766, 8.3942 Å; angles 120.06, 120.06, 90.02 degrees
With the nearest neighbours (Å) after each atom.
Element x y z (fractional)
Ce1 0.2489 0.7711 0.5100  3 S 2.83-2.91, 2 Se 3.02, 1 Sb 3.10
Ce2 0.7289 0.2511 0.9900  3 S 2.83-2.91, 2 Se 3.02, 1 Sb 3.10
Ce3 0.7511 0.2288 0.4900  3 S 2.83-2.91, 2 Se 3.02, 1 Sb 3.10
Ce4 0.2712 0.7489 0.0100  3 S 2.83-2.91, 2 Se 3.02, 1 Sb 3.10
Ce5 0.7450 0.7549 0.4777  3 S 2.83-2.91, 1 Se 3.03, 2 Sb 3.10
Ce6 0.7451 0.7550 0.0223  3 S 2.83-2.91, 1 Se 3.03, 2 Sb 3.10
Ce7 0.2550 0.2452 0.5223  3 S 2.83-2.91, 1 Se 3.03, 2 Sb 3.10
Ce8 0.2548 0.2450 0.9777  3 S 2.83-2.91, 1 Se 3.03, 2 Sb 3.10
Se1 0.0000 0.5000 0.0000  6 Ce 3.02-3.03
Se2 0.0000 0.5000 0.5000  6 Ce 3.02-3.03
S1 0.5000 0.0000 0.0000  6 Ce 2.91
S2 0.5000 0.0000 0.5000  6 Ce 2.91
S3 0.0000 0.0000 0.5000  6 Ce 2.83
S4 0.5000 0.5000 0.0000  6 Ce 2.83
Sb1 0.5000 0.5000 0.5000  6 Ce 3.10
Sb2 0.0000 0.0000 0.0000  6 Ce 3.10

La2Hg | GGA-PBE | relaxed

Values from the calculation:
Its size of the total moment is 0.000 μB/f.u. The calculation puts the uncorrected energy at -3.645 eV/atom. The calculated volume is 33.12 Å³/atom. The symmetry is Cm, No. 8. The value obtained for the energy of formation from the pure elements is -259 meV per atom.

Cell lengths 3.7898, 6.4758, 8.4780 Å; angles 87.16, 90.00, 107.01 degrees
With the nearest neighbours (Å) after each atom.
Element x y z (fractional)
La1 0.0744 0.1488 0.4078  3 Hg 3.26-3.47, 3 La 3.28-3.63
La2 0.6719 0.3437 0.0209  4 Hg 3.29-3.52
La3 0.3350 0.6699 0.3177  4 Hg 3.27-3.54, 3 La 3.28-3.63
La4 0.4158 0.8317 0.7402  4 Hg 3.27-3.29
Hg1 0.9549 0.9098 0.0469  8 La 3.27-3.52
Hg2 0.7147 0.4294 0.6331  7 La 3.26-3.54

What is the formula in the first record?
Ce4SbSeS2

Among the records above, which one has the lowest uncorrected energy?
Ce4SbSeS2